# CaHoPt

Crystalline CaHoPt at its relaxed geometry (PBE-GGA, Alexandria).

Space group: P1 (1)
Fermi-level density of states (states/eV per cell): 4.8
Offset from the most stable computed form (eV per atom): 0.081

```
6
Lattice="3.736 -0.001 0.004 0.001 6.925 -0.871 0.014 -0.876 6.775" Properties=species:S:1:pos:R:3 pbc="T T T"
Ca 0.465 0.078 0.697
Ca 2.323 3.553 -0.137
Ho 2.341 5.754 3.338
Ho 2.341 2.217 3.299
Pt 0.471 0.858 4.954
Pt 0.472 3.954 4.571
```